# GGA-PBE Sm2TmSn, relaxed
data_Sm2TmSn
_cell_length_a 3.4265
_cell_length_b 5.5825
_cell_length_c 13.6557
_cell_angle_alpha 90.00
_cell_angle_beta 97.21
_cell_angle_gamma 90.00
_space_group_name_H-M_alt 'P 1'
_space_group_IT_number 1
_space_group_name_Hall 'P 1'
loop_
_atom_site_label
_atom_site_fract_x
_atom_site_fract_y
_atom_site_fract_z
Sm1 0.1885 0.2500 0.3770
Tm1 0.9714 0.7500 0.9429
Sm2 0.0947 0.7500 0.1895
Sn1 0.6957 0.7500 0.3914
Sm3 0.8115 0.7500 0.6230
Sn2 0.3043 0.2500 0.6086
Sm4 0.9053 0.2500 0.8105
Tm2 0.0286 0.2500 0.0571
# Offset from the most stable computed form   382 meV per atom
# Total energy   -4.52 eV/atom
# Crystal system   orthorhombic
# Energy of formation from the pure elements   -0.040 eV/atom
# SG   Cmcm, No. 63